1.
VASP calculation (PBE) on an optimized crystal structure of GdAl4Sn. Values from VASP.

Geometry as Quantum ESPRESSO input:
```
&SYSTEM
  ibrav = 0, nat = 6, ntyp = 3
/
ATOMIC_SPECIES
Al 26.98 Al.upf
Gd 157.25 Gd.upf
Sn 118.71 Sn.upf
CELL_PARAMETERS angstrom
5.575 0.000 0.000
2.788 4.828 0.000
2.788 1.609 4.552
ATOMIC_POSITIONS angstrom
Al 5.575 3.219 0.572
Al 5.575 1.612 2.844
Al 6.967 4.022 2.844
Gd 2.788 1.609 1.138
Al 4.183 4.022 2.844
Sn 0.000 0.000 0.000
```

Values from the calculation:
Symmetry: No. 216
Crystal system: cubic
ΔH_f (0 K) in eV/atom: -0.207
DOS(E_F) in states/eV per atom: 0.671
Total DFT energy (no corrections) in eV/cell: -34.3

=====

2.
VASP calculation (PBE) on an optimized crystal structure of K2Na2CoH6. Values from VASP.

Geometry as Quantum ESPRESSO input:
```
&SYSTEM
  ibrav = 0, nat = 11, ntyp = 4
/
ATOMIC_SPECIES
Na 22.99 Na.upf
K 39.10 K.upf
H 1.01 H.upf
Co 58.93 Co.upf
CELL_PARAMETERS angstrom
6.374 -0.216 0.504
-3.338 5.434 0.504
-0.680 -1.169 5.300
ATOMIC_POSITIONS angstrom
Na -2.130 4.731 0.504
Na 5.165 0.487 0.504
K 2.706 1.135 3.154
H 0.933 -0.628 3.553
H 0.332 0.571 1.822
H 1.422 4.676 2.755
H 3.362 3.547 2.755
H 2.023 3.477 4.486
H -1.007 0.501 3.553
K -0.351 2.913 3.154
Co -0.340 -0.585 2.650
```

Values from the calculation:
Symmetry: No. 12
Crystal system: monoclinic
DOS(E_F) in states/eV per atom: 0.121
Total DFT energy (no corrections) in eV/cell: -33.5

=====

3.
VASP calculation (PBE) on an optimized crystal structure of MgZr2In3. Values from VASP.

Geometry as Quantum ESPRESSO input:
```
&SYSTEM
  ibrav = 0, nat = 6, ntyp = 3
/
ATOMIC_SPECIES
In 114.82 In.upf
Mg 24.30 Mg.upf
Zr 91.22 Zr.upf
CELL_PARAMETERS angstrom
4.050 0.000 -1.281
0.000 4.497 0.000
0.064 0.000 7.245
ATOMIC_POSITIONS angstrom
In 1.377 0.000 4.353
In 2.025 2.248 -0.641
Mg 0.000 0.000 0.000
Zr 0.674 2.248 2.130
Zr 3.441 2.248 3.834
In 2.737 0.000 1.610
```

Values from the calculation:
Symmetry: No. 65
Crystal system: orthorhombic
ΔH_f (0 K) in eV/atom: -0.299
DOS(E_F) in states/eV per atom: 0.424
Total DFT energy (no corrections) in eV/cell: -28.7

=====

4.
VASP calculation (PBE) on an optimized crystal structure of TlBi7Pb12. Values from VASP.

Geometry as Quantum ESPRESSO input:
```
&SYSTEM
  ibrav = 0, nat = 20, ntyp = 3
/
ATOMIC_SPECIES
Pb 207.20 Pb.upf
Bi 208.98 Bi.upf
Tl 204.38 Tl.upf
CELL_PARAMETERS angstrom
-8.928 -2.908 1.239
4.482 -0.153 8.342
-0.075 8.876 -3.301
ATOMIC_POSITIONS angstrom
Pb -4.714 2.982 0.747
Pb 0.731 -0.182 7.291
Pb 2.739 5.228 5.454
Pb 0.193 2.834 5.533
Bi -1.875 6.597 4.302
Pb -5.054 -1.492 6.067
Pb -5.252 5.998 -1.012
Bi -2.260 2.908 3.140
Pb -2.454 5.617 1.049
Bi -2.646 -0.781 1.977
Pb 0.533 7.307 0.212
Bi -1.580 2.924 -0.687
Bi -5.876 4.265 3.581
Bi -2.941 2.891 6.967
Bi 1.355 1.550 2.698
Pb -2.067 0.198 5.230
Pb -7.259 0.588 0.825
Pb -5.027 0.925 3.542
Pb 0.507 4.891 2.737
Tl 0.000 0.000 0.000
```

Values from the calculation:
Symmetry: No. 148
Crystal system: trigonal
ΔH_f (0 K) in eV/atom: 0.044
DOS(E_F) in states/eV per atom: 0.552
Total DFT energy (no corrections) in eV/cell: -73.1